Here is a relaxed YSeF2 crystal from Alexandria via LeMat-Bulk. Energies are from GGA-PBE.

## Properties
ΔE_f (raw) ... -2.556 eV/atom
Magnetization ... 4.0 μB per cell
E_tot ... -5.979 eV per atom
Excess energy over the best structure of this formula in the dataset ... 12.7 kJ per mole of atoms

Cell: 4.6599 4.6599 14.6872 Å, 90.00 90.00 90.00°
Closest atoms and distances in Å follow each position.
Atoms (fractional coordinates):
1 Y 0.0000 0.0000 0.0000  4 F 2.20
2 Y 0.0000 0.5000 0.2500  4 F 2.20
3 Y 0.5000 0.0000 0.7500  4 F 2.20
4 Y 0.5000 0.5000 0.5000  4 F 2.20
5 Se 0.0000 0.0000 0.5000  4 F 2.94
6 Se 0.0000 0.5000 0.7500  4 F 2.94
7 Se 0.5000 0.0000 0.2500  4 F 2.94
8 Se 0.5000 0.5000 0.0000  4 F 2.94
9 F 0.0763 0.2500 0.1250  2 Y 2.20, 2 F 2.44
10 F 0.2500 0.5763 0.3750  2 Y 2.20, 2 F 2.44
11 F 0.2500 0.9237 0.8750  2 Y 2.20, 2 F 2.44
12 F 0.4237 0.2500 0.6250  2 Y 2.20, 2 F 2.44
13 F 0.5763 0.7500 0.6250  2 Y 2.20, 2 F 2.44
14 F 0.7500 0.0763 0.8750  2 Y 2.20, 2 F 2.44
15 F 0.7500 0.4237 0.3750  2 Y 2.20, 2 F 2.44
16 F 0.9237 0.7500 0.1250  2 Y 2.20, 2 F 2.44